# 1
Ca2Mg2Si4Ni | PBE | relaxed

Summary:
Crystal system: tetragonal
E_form (uncorrected) (meV per atom): -233

Cell lengths 6.2068, 6.2068, 6.2068 Å; angles 121.91, 121.91, 86.72 degrees
With the nearest neighbours (Å) after each atom.
Element x y z (fractional)
Ca  0.2500  0.7500  0.5000  4 Mg 3.02, 8 Si 3.11
Ca  0.7500  0.2500  0.5000  4 Mg 3.02, 8 Si 3.11
Mg  0.2245  0.2245  0.0000  1 Ni 2.49, 4 Si 2.76
Mg  0.7755  0.7755  0.0000  1 Ni 2.49, 4 Si 2.76
Si  0.2199  0.2199  0.4397  1 Ni 2.39, 2 Si 2.65
Si  0.2199  0.7801  0.0000  1 Ni 2.39, 2 Si 2.65
Si  0.7801  0.2199  0.0000  1 Ni 2.39, 2 Si 2.65
Si  0.7801  0.7801  0.5603  1 Ni 2.39, 2 Si 2.65
Ni  0.5000  0.5000  0.0000  4 Si 2.39, 2 Mg 2.49

---

# 2
CaMgSiNi2 | PBE | relaxed

Summary:
Crystal system: tetragonal
E_form (uncorrected) (meV per atom): 260

Cell lengths 4.4236, 4.4236, 5.2214 Å; angles 90.00, 90.00, 90.00 degrees
With the nearest neighbours (Å) after each atom.
Element x y z (fractional)
Ca  0.0000  0.0000  0.0000  2 Si 2.61
Mg  0.5000  0.5000  0.0000  4 Ca 3.13, 8 Ni 3.42
Si  0.0000  0.0000  0.5000  4 Ni 2.21
Ni  0.0000  0.5000  0.5000  2 Si 2.21
Ni  0.5000  0.0000  0.5000  2 Si 2.21

---

# 3
Ca2MgNiSn6 | PBE | relaxed

Summary:
Crystal system: trigonal
Formation energy from the elements (eV per atom): -0.259

Cell lengths 7.2402, 7.2402, 5.8428 Å; angles 90.00, 90.00, 120.00 degrees
With the nearest neighbours (Å) after each atom.
Element x y z (fractional)
Ca  0.3333  0.6667  0.3223  12 Sn 3.37-3.71
Ca  0.6667  0.3333  0.6777  12 Sn 3.37-3.71
Mg  0.0000  0.0000  0.5000  2 Ni 2.92, 6 Sn 2.99
Ni  0.0000  0.0000  0.0000  6 Sn 2.62, 2 Mg 2.92
Sn  0.1894  0.3787  0.8096  1 Ni 2.62
Sn  0.1894  0.8106  0.8096  1 Ni 2.62
Sn  0.3787  0.1894  0.1904  1 Ni 2.62
Sn  0.6213  0.8106  0.8096  1 Ni 2.62
Sn  0.8106  0.1894  0.1904  1 Ni 2.62
Sn  0.8106  0.6213  0.1904  1 Ni 2.62

---

# 4
Sr2CaMgNi | PBE | relaxed

Summary:
Crystal system: tetragonal
Energy above the lowest structure with this stoichiometry (eV/atom): 0.0000
Formation energy from the elements (eV per atom): 0.016

Cell lengths 5.7887, 5.7887, 5.4611 Å; angles 90.00, 90.00, 90.00 degrees
With the nearest neighbours (Å) after each atom.
Element x y z (fractional)
Sr  0.0000  0.5000  0.0000  2 Ni 2.89
Sr  0.5000  0.0000  0.0000  2 Ni 2.89
Ca  0.0000  0.0000  0.5000  2 Ni 2.73
Mg  0.5000  0.5000  0.5000  8 Sr 3.98, 4 Ca 4.09
Ni  0.0000  0.0000  0.0000  2 Ca 2.73, 4 Sr 2.89

---

# 5
SrCaMg2Ni | PBE | relaxed

Summary:
Crystal system: tetragonal
Energy above the lowest structure with this stoichiometry (eV/atom): 0.0000
Formation energy from the elements (eV per atom): -0.044

Cell lengths 5.1774, 5.1774, 5.2544 Å; angles 90.00, 90.00, 90.00 degrees
With the nearest neighbours (Å) after each atom.
Element x y z (fractional)
Sr  0.0000  0.0000  0.0000  4 Ca 3.66, 8 Mg 3.69
Ca  0.5000  0.5000  0.0000  2 Ni 2.63
Mg  0.0000  0.5000  0.5000  2 Ni 2.59
Mg  0.5000  0.0000  0.5000  2 Ni 2.59
Ni  0.5000  0.5000  0.5000  4 Mg 2.59, 2 Ca 2.63

---

# 6
Sr2CaMgNi | PBE | relaxed

Summary:
Crystal system: tetragonal
Energy above the lowest structure with this stoichiometry (eV/atom): 0.0194
Formation energy from the elements (eV per atom): 0.036

Cell lengths 5.8100, 5.8100, 5.1936 Å; angles 90.00, 90.00, 90.00 degrees
With the nearest neighbours (Å) after each atom.
Element x y z (fractional)
Sr  0.0000  0.5000  0.0000  2 Ni 2.91
Sr  0.5000  0.0000  0.0000  2 Ni 2.91
Ca  0.0000  0.0000  0.5000  8 Sr 3.90, 4 Mg 4.11
Mg  0.5000  0.5000  0.5000  2 Ni 2.60
Ni  0.5000  0.5000  0.0000  2 Mg 2.60, 4 Sr 2.91

---

# 7
SrCaMg2Ni | PBE | relaxed

Summary:
Crystal system: tetragonal
Energy above the lowest structure with this stoichiometry (eV/atom): 0.0725
Formation energy from the elements (eV per atom): 0.028

Cell lengths 5.1671, 5.1671, 5.4176 Å; angles 90.00, 90.00, 90.00 degrees
With the nearest neighbours (Å) after each atom.
Element x y z (fractional)
Sr  0.0000  0.0000  0.0000  2 Ni 2.71
Ca  0.5000  0.5000  0.0000  4 Sr 3.65, 8 Mg 3.74
Mg  0.0000  0.5000  0.5000  2 Ni 2.58
Mg  0.5000  0.0000  0.5000  2 Ni 2.58
Ni  0.0000  0.0000  0.5000  4 Mg 2.58, 2 Sr 2.71

---

# 8
CaMgTl2Ni | PBE | relaxed

Summary:
Crystal system: tetragonal
Formation energy from the elements (eV per atom): -0.072

Cell lengths 5.0963, 5.0963, 4.8714 Å; angles 90.00, 90.00, 90.00 degrees
With the nearest neighbours (Å) after each atom.
Element x y z (fractional)
Ca  0.0000  0.0000  0.0000  8 Tl 3.53, 4 Mg 3.60
Mg  0.5000  0.5000  0.0000  2 Ni 2.44
Tl  0.0000  0.5000  0.5000  2 Ni 2.55
Tl  0.5000  0.0000  0.5000  2 Ni 2.55
Ni  0.5000  0.5000  0.5000  2 Mg 2.44, 4 Tl 2.55

---

no.,DOS(E_F) (states/eV/atom),spin magnetization (μB per formula unit)
1,0.276,0.00
2,1.009,0.00
3,0.541,0.00
4,0.621,0.00
5,0.690,0.00
6,0.836,0.00
7,0.602,0.00
8,0.554,0.00